## P
Below is an optimized crystal structure of KGaMo3, with properties calculated at the GGA-PBE level.

The structure in CIF format:
```
data_KGaMo3
_chemical_formula_sum 'K1 Ga1 Mo3'
_space_group_name_H-M_alt 'P m -3 m'
_space_group_IT_number 221
_space_group_name_Hall '-P 4 2 3'
_cell_length_a 4.531
_cell_length_b 4.531
_cell_length_c 4.531
_cell_angle_alpha 90.00
_cell_angle_beta 90.00
_cell_angle_gamma 90.00
loop_
_atom_site_label
_atom_site_type_symbol
_atom_site_fract_x
_atom_site_fract_y
_atom_site_fract_z
K1 K 0.000 0.000 0.000
Ga1 Ga 0.500 0.500 0.500
Mo1 Mo 0.000 0.000 0.500
```

## Properties
For the size of the total moment, the calculation gives 0.00 μB/f.u. The value obtained for the theoretical density is 7.1 Mg/m³.

## Q
Below is an optimized crystal structure of KGaMo3, with properties calculated at the GGA-PBE level.

The structure in CIF format:
```
data_KGaMo3
_chemical_formula_sum 'K1 Ga1 Mo3'
_space_group_name_H-M_alt 'P m -3 m'
_space_group_IT_number 221
_space_group_name_Hall '-P 4 2 3'
_cell_length_a 4.814
_cell_length_b 4.814
_cell_length_c 4.814
_cell_angle_alpha 90.00
_cell_angle_beta 90.00
_cell_angle_gamma 90.00
loop_
_atom_site_label
_atom_site_type_symbol
_atom_site_fract_x
_atom_site_fract_y
_atom_site_fract_z
K1 K 0.000 0.000 0.000
Ga1 Ga 0.500 0.500 0.500
Mo1 Mo 0.000 0.500 0.500
```

## Properties
For the size of the total moment, the calculation gives 0.00 μB/f.u. The value obtained for the theoretical density is 5.9 Mg/m³.

Most stable to least stable, the ends of the list are Q and P.

## P
Below is an optimized crystal structure of KGa2Mo2, with properties calculated at the GGA-PBE level.

The structure in CIF format:
```
data_KGa2Mo2
_chemical_formula_sum 'K2 Ga4 Mo4'
_space_group_name_H-M_alt 'P 4/m b m'
_space_group_IT_number 127
_space_group_name_Hall '-P 4 2ab'
_cell_length_a 8.402
_cell_length_b 8.402
_cell_length_c 2.706
_cell_angle_alpha 90.00
_cell_angle_beta 90.00
_cell_angle_gamma 90.00
loop_
_atom_site_label
_atom_site_type_symbol
_atom_site_fract_x
_atom_site_fract_y
_atom_site_fract_z
K1 K 0.000 0.000 0.000
Ga1 Ga 0.180 0.320 0.000
Mo1 Mo 0.107 0.607 0.500
```

## Properties
For the size of the total moment, the calculation gives 0.00 μB/f.u. The value obtained for the theoretical density is 6.4 Mg/m³.

## Q
Below is an optimized crystal structure of KGa2Mo2, with properties calculated at the GGA-PBE level.

The structure in CIF format:
```
data_KGa2Mo2
_chemical_formula_sum 'K2 Ga4 Mo4'
_space_group_name_H-M_alt 'I 4/m m m'
_space_group_IT_number 139
_space_group_name_Hall '-I 4 2'
_cell_length_a 3.858
_cell_length_b 3.858
_cell_length_c 13.494
_cell_angle_alpha 90.00
_cell_angle_beta 90.00
_cell_angle_gamma 90.00
loop_
_atom_site_label
_atom_site_type_symbol
_atom_site_fract_x
_atom_site_fract_y
_atom_site_fract_z
K1 K 0.000 0.000 0.000
Ga1 Ga 0.000 0.000 0.392
Mo1 Mo 0.000 0.500 0.250
```

## Properties
For the size of the total moment, the calculation gives 0.00 μB/f.u. The value obtained for the theoretical density is 6.1 Mg/m³.

Most stable to least stable, the ends of the list are P and Q.

## P
Below is an optimized crystal structure of KGa3N, with properties calculated at the GGA-PBE level.

The structure in CIF format:
```
data_KGa3N
_chemical_formula_sum 'K1 Ga3 N1'
_space_group_name_H-M_alt 'P m -3 m'
_space_group_IT_number 221
_space_group_name_Hall '-P 4 2 3'
_cell_length_a 5.748
_cell_length_b 5.748
_cell_length_c 5.748
_cell_angle_alpha 90.00
_cell_angle_beta 90.00
_cell_angle_gamma 90.00
loop_
_atom_site_label
_atom_site_type_symbol
_atom_site_fract_x
_atom_site_fract_y
_atom_site_fract_z
K1 K 0.000 0.000 0.000
Ga1 Ga 0.000 0.000 0.500
N1 N 0.500 0.500 0.500
```

## Properties
For the size of the total moment, the calculation gives 0.00 μB/f.u. The value obtained for the theoretical density is 2.3 Mg/m³.

## Q
Below is an optimized crystal structure of KGa3N, with properties calculated at the GGA-PBE level.

The structure in CIF format:
```
data_KGa3N
_chemical_formula_sum 'K1 Ga3 N1'
_space_group_name_H-M_alt 'P m -3 m'
_space_group_IT_number 221
_space_group_name_Hall '-P 4 2 3'
_cell_length_a 4.727
_cell_length_b 4.727
_cell_length_c 4.727
_cell_angle_alpha 90.00
_cell_angle_beta 90.00
_cell_angle_gamma 90.00
loop_
_atom_site_label
_atom_site_type_symbol
_atom_site_fract_x
_atom_site_fract_y
_atom_site_fract_z
K1 K 0.000 0.000 0.000
Ga1 Ga 0.000 0.500 0.500
N1 N 0.500 0.500 0.500
```

## Properties
For the size of the total moment, the calculation gives 0.08 μB/f.u. The value obtained for the theoretical density is 4.1 Mg/m³.

Most stable to least stable, the ends of the list are Q and P.